(1)
## KLaCd17 (PBE)

Data for a geometry-optimized KLaCd17 structure.

```
KLaCd17
1.0
7.7250 0.0455 0.9623
0.8554 7.6776 0.9623
0.0506 0.0455 7.7845
Cd K La
17 1 1
direct
0.0006 0.7016 0.2971
0.7016 0.2971 0.0006
0.6362 0.6362 0.1750
0.7016 0.0006 0.2971
0.2971 0.0006 0.7016
0.1037 0.1037 0.1037
0.5073 0.9935 0.9935
0.9935 0.5073 0.9935
0.2971 0.7016 0.0006
0.8547 0.3516 0.3516
0.9032 0.9032 0.9032
0.0006 0.2971 0.7016
0.3516 0.8547 0.3516
0.6362 0.1750 0.6362
0.9935 0.9935 0.5073
0.1750 0.6362 0.6362
0.3516 0.3516 0.8547
0.6621 0.6621 0.6621
0.3329 0.3329 0.3329
```

Properties
The value obtained for the final energy is -23.9 eV for the cell shown. The mass density comes out at 7.53 g/cm3. The density of states at the Fermi level is 7.0 states/eV/f.u. For the formation energy, the calculation gives -0.1205 eV per atom.

---

(2)
## Ho12Pb3O5 (PBE)

Data for a geometry-optimized Ho12Pb3O5 structure.

```
Ho12Pb3O5
1.0
13.5079 0.0000 0.0000
-4.5026 12.7354 0.0000
-4.5026 -6.3677 11.0292
Ho O Pb
48 20 12
direct
0.0893 0.9002 0.3948
0.6944 0.1052 0.0054
0.3056 0.4107 0.8109
0.5998 0.6052 0.4107
0.5054 0.1944 0.1052
0.1891 0.0893 0.6944
0.0893 0.1891 0.1944
0.4002 0.3948 0.5893
0.9107 0.8109 0.8056
0.4107 0.1052 0.5998
0.5054 0.3109 0.9002
0.8109 0.9002 0.0054
0.5998 0.9946 0.6891
0.8948 0.3056 0.4946
0.3109 0.8056 0.4107
0.1052 0.4107 0.0998
0.8056 0.3109 0.9107
0.4946 0.6891 0.0998
0.8056 0.4946 0.3948
0.1944 0.5054 0.6052
0.0054 0.4002 0.8109
0.3109 0.5054 0.4002
0.9002 0.8109 0.5054
0.0054 0.6052 0.6944
0.1052 0.6944 0.5054
0.1891 0.0998 0.9946
0.6052 0.0054 0.1944
0.0998 0.9107 0.1052
0.4002 0.0054 0.3109
0.9946 0.3948 0.3056
0.4946 0.8056 0.8948
0.6052 0.5998 0.9107
0.5893 0.8948 0.4002
0.5893 0.6944 0.6891
0.1944 0.6891 0.0893
0.6891 0.1944 0.5893
0.3056 0.8948 0.9946
0.6944 0.5893 0.1891
0.8109 0.9107 0.3056
0.4107 0.3056 0.3109
0.8948 0.5893 0.9002
0.9002 0.0893 0.8948
0.0998 0.1891 0.4946
0.6891 0.4946 0.5998
0.3948 0.4002 0.0893
0.9107 0.0998 0.6052
0.9946 0.5998 0.1891
0.3948 0.9946 0.8056
0.3750 0.1250 0.7500
0.7500 0.6250 0.3750
0.0000 0.5000 0.0000
0.3750 0.2500 0.1250
0.1250 0.7500 0.3750
0.1250 0.3750 0.2500
0.5000 0.5000 0.0000
0.5000 0.5000 0.5000
0.0000 0.0000 0.0000
0.8750 0.6250 0.7500
0.6250 0.7500 0.8750
0.2500 0.8750 0.1250
0.0000 0.0000 0.5000
0.5000 0.0000 0.0000
0.2500 0.3750 0.6250
0.7500 0.1250 0.8750
0.0000 0.5000 0.5000
0.6250 0.8750 0.2500
0.5000 0.0000 0.5000
0.8750 0.2500 0.6250
0.3750 0.7500 0.6250
0.1250 0.8750 0.7500
0.8750 0.7500 0.1250
0.7500 0.3750 0.1250
0.8750 0.1250 0.2500
0.1250 0.2500 0.8750
0.3750 0.6250 0.2500
0.2500 0.1250 0.3750
0.2500 0.6250 0.8750
0.6250 0.3750 0.7500
0.7500 0.8750 0.6250
0.6250 0.2500 0.3750
```

Properties
The value obtained for the final energy is -488.0 eV for the cell shown. The mass density comes out at 9.38 g/cm3. The density of states at the Fermi level is 18.2 states/eV/f.u.

---

(3)
## LaSc2TcO8 (PBE)

Data for a geometry-optimized LaSc2TcO8 structure.

```
LaSc2TcO8
1.0
-3.2800 1.9799 -3.0611
-2.4230 -4.2454 -0.3804
-3.8392 1.7229 5.2283
O Sc Tc La
8 2 1 1
direct
0.8042 0.1963 0.7980
0.2719 0.2713 0.0000
0.8043 0.1963 0.2020
0.6750 0.6754 0.5000
0.3250 0.3246 0.5000
0.1957 0.8037 0.7980
0.7281 0.7287 0.0000
0.1958 0.8037 0.2020
0.5000 0.5000 0.2583
0.5000 0.5000 0.7417
0.0000 0.0000 0.0000
0.0000 0.0000 0.5000
```

Properties
The value obtained for the final energy is -98.6 eV for the cell shown. The mass density comes out at 4.68 g/cm3.

---

(4)
## Cs12Rb6Bi (PBE)

Data for a geometry-optimized Cs12Rb6Bi structure.

```
Cs12Rb6Bi
1.0
-4.5135 -8.3721 -8.2782
8.5364 0.6067 -9.2604
7.1416 -10.1224 2.3510
Cs Rb Bi
12 6 1
direct
0.6973 0.6969 0.3558
0.3056 0.9785 0.9777
0.0223 0.6944 0.0215
0.6969 0.3558 0.6973
0.6944 0.0215 0.0223
0.6442 0.3027 0.3031
0.3558 0.6973 0.6969
0.9785 0.9777 0.3056
0.0215 0.0223 0.6944
0.9777 0.3056 0.9785
0.3027 0.3031 0.6442
0.3031 0.6442 0.3027
0.9626 0.6348 0.6350
0.3652 0.3650 0.0374
0.0374 0.3652 0.3650
0.6350 0.9626 0.6348
0.3650 0.0374 0.3652
0.6348 0.6350 0.9626
0.0000 0.0000 0.0000
```

Properties
The value obtained for the final energy is -21.0 eV for the cell shown. The mass density comes out at 2.04 g/cm3. The density of states at the Fermi level is 17.5 states/eV/f.u. For the formation energy, the calculation gives -0.0558 eV per atom.

---

(5)
## Nd6InAs2Se3 (PBE)

Data for a geometry-optimized Nd6InAs2Se3 structure.

```
Nd6InAs2Se3
1.0
-2.7030 -1.8132 -2.7432
-0.9089 -6.7679 5.3689
-5.4170 6.7863 4.1545
Se In As Nd
3 1 2 6
direct
0.1666 0.8316 0.3332
0.8334 0.1684 0.6668
0.5000 0.5000 0.0000
0.5000 0.0000 0.0000
0.8324 0.6650 0.6648
0.1676 0.3350 0.3352
0.3300 0.9075 0.6600
0.9978 0.7379 0.9956
0.6700 0.0925 0.3400
0.0022 0.2621 0.0044
0.3301 0.4230 0.6603
0.6699 0.5770 0.3397
```

Properties
The value obtained for the final energy is -69.1 eV for the cell shown. The mass density comes out at 6.72 g/cm3. The density of states at the Fermi level is 3.9 states/eV/f.u.

---

(6)
## Ba2LiGa4Sn3 (PBE)

Data for a geometry-optimized Ba2LiGa4Sn3 structure.

```
Ba2LiGa4Sn3
1.0
-3.1528 3.0106 -2.3156
-0.1722 -3.1196 -3.8215
-8.5584 -5.3235 4.7314
Ga Sn Ba Li
4 3 2 1
direct
0.5000 0.5000 0.0000
0.0000 0.5000 0.3748
0.5000 0.0000 0.6252
0.0000 0.0000 0.0000
0.0000 0.0000 0.5000
0.0000 0.5000 0.1273
0.5000 0.0000 0.8727
0.0000 0.5000 0.7541
0.5000 0.0000 0.2459
0.5000 0.5000 0.5000
```

Properties
The value obtained for the final energy is -33.7 eV for the cell shown. The mass density comes out at 5.61 g/cm3. The density of states at the Fermi level is 4.8 states/eV/f.u. For the formation energy, the calculation gives -0.3854 eV per atom.

---

(7)
## YLuPdRu (PBE)

Data for a geometry-optimized YLuPdRu structure.

```
YLuPdRu
1.0
4.8337 0.0000 0.0000
2.4169 4.1861 0.0000
2.4169 1.3954 3.9467
Y Lu Pd Ru
1 1 1 1
direct
0.5000 0.5000 0.5000
0.0000 0.0000 0.0000
0.2500 0.2500 0.2500
0.7500 0.7500 0.7500
```

Properties
The value obtained for the final energy is -28.2 eV for the cell shown. The mass density comes out at 9.80 g/cm3. The density of states at the Fermi level is 1.4 states/eV/f.u. For the formation energy, the calculation gives -0.6834 eV per atom.

---

(8)
## ReC4 (PBE)

Data for a geometry-optimized ReC4 structure.

```
ReC4
1.0
-1.8706 1.8706 2.7809
1.8706 -1.8706 2.7809
1.8706 1.8706 -2.7809
Re C
1 4
direct
0.0000 0.0000 0.0000
0.3708 0.3708 0.0000
0.2500 0.7500 0.5000
0.6292 0.6292 0.0000
0.7500 0.2500 0.5000
```

Properties
The value obtained for the final energy is -37.1 eV for the cell shown. The mass density comes out at 9.99 g/cm3. The density of states at the Fermi level is 1.7 states/eV/f.u. For the formation energy, the calculation gives 2.4389 eV per atom.